--- one ---
## CsRb2NaI (PBE)

Data for an optimized crystal structure of CsRb2NaI.

Results
Symmetry: P4/mmm, No. 123
Calculated density: 2.0 g cm⁻³

a = 7.3819 Å, b = 7.3819 Å, c = 6.8130 Å
α = 90.00°, β = 90.00°, γ = 90.00°
Sites, in units of the cell vectors:
Cs1 0.0000 0.0000 0.0000
Rb1 0.0000 0.5000 0.5000
Rb2 0.5000 0.0000 0.5000
Na1 0.5000 0.5000 0.0000
I1 0.5000 0.5000 0.5000



--- two ---
## CsRb2NaI (PBE)

Data for an optimized crystal structure of CsRb2NaI.

Results
Symmetry: P4/mmm, No. 123
Calculated density: 1.9 g cm⁻³

a = 7.2009 Å, b = 7.2009 Å, c = 7.5388 Å
α = 90.00°, β = 90.00°, γ = 90.00°
Sites, in units of the cell vectors:
Cs1 0.0000 0.0000 0.0000
Rb1 0.0000 0.5000 0.5000
Rb2 0.5000 0.0000 0.5000
Na1 0.5000 0.5000 0.0000
I1 0.0000 0.0000 0.5000



Which of the structures shown above is the most stable? The most stable is two.